# 1
# Ce5Pm2Os3 (GGA-PBE, relaxed)
# ρ in g cm⁻³: 10.22
# Raw total energy in eV per cell: -294.8
# Crystal system: monoclinic
data_Ce5Pm2Os3
_cell_length_a 11.702
_cell_length_b 15.014
_cell_length_c 6.216
_cell_angle_alpha 90.00
_cell_angle_beta 111.71
_cell_angle_gamma 90.00
_space_group_name_H-M_alt 'C 1 2/c 1'
_space_group_IT_number 15
loop_
_space_group_symop_operation_xyz
'x,y,z'
'-x,-y,-z'
'-x,y,-z+1/2'
'x,-y,z+1/2'
'x+1/2,y+1/2,z'
'-x+1/2,-y+1/2,-z'
'-x+1/2,y+1/2,-z+1/2'
'x+1/2,-y+1/2,z+1/2'
loop_
_atom_site_label
_atom_site_fract_x
_atom_site_fract_y
_atom_site_fract_z
Ce1 0.000 0.020 0.250
Ce2 0.118 0.345 0.530
Ce3 0.212 0.448 0.116
Pm1 0.115 0.204 0.053
Os1 0.000 0.497 0.250
Os2 0.154 0.155 0.582


# 2
# Ce3PmOs (GGA-PBE, relaxed)
# Excess energy over the best structure of this formula in the dataset in meV/atom: 127
# ρ in g cm⁻³: 7.68
# Raw total energy in eV per cell: -33.4
# Crystal system: cubic
data_Ce3PmOs
_cell_length_a 5.468
_cell_length_b 5.468
_cell_length_c 5.468
_cell_angle_alpha 90.00
_cell_angle_beta 90.00
_cell_angle_gamma 90.00
_space_group_name_H-M_alt 'P m -3 m'
_space_group_IT_number 221
_space_group_name_Hall '-P 4 2 3'
loop_
_atom_site_label
_atom_site_fract_x
_atom_site_fract_y
_atom_site_fract_z
Ce1 0.000 0.000 0.500
Pm1 0.500 0.500 0.500
Os1 0.000 0.000 0.000


# 3
# CePmOs (GGA-PBE, relaxed)
# Excess energy over the best structure of this formula in the dataset in meV/atom: 39
# ρ in g cm⁻³: 9.71
# Raw total energy in eV per cell: -88.4
# Crystal system: cubic
data_CePmOs
_cell_length_a 6.876
_cell_length_b 6.876
_cell_length_c 6.876
_cell_angle_alpha 90.00
_cell_angle_beta 90.00
_cell_angle_gamma 90.00
_space_group_name_H-M_alt 'F -4 3 m'
_space_group_IT_number 216
_space_group_name_Hall 'F -4 2 3'
loop_
_atom_site_label
_atom_site_fract_x
_atom_site_fract_y
_atom_site_fract_z
Ce1 0.000 0.000 0.000
Pm1 0.000 0.000 0.500
Os1 0.250 0.250 0.750


# 4
# CePmOs (GGA-PBE, relaxed)
# Excess energy over the best structure of this formula in the dataset in meV/atom: 91
# ρ in g cm⁻³: 11.09
# Raw total energy in eV per cell: -43.9
# Crystal system: tetragonal
data_CePmOs
_cell_length_a 3.557
_cell_length_b 3.557
_cell_length_c 11.248
_cell_angle_alpha 90.00
_cell_angle_beta 90.00
_cell_angle_gamma 90.00
_space_group_name_H-M_alt 'I 4 m m'
_space_group_IT_number 107
_space_group_name_Hall 'I 4 -2'
loop_
_atom_site_label
_atom_site_fract_x
_atom_site_fract_y
_atom_site_fract_z
Ce1 0.000 0.000 0.000
Pm1 0.000 0.000 0.292
Os1 0.000 0.000 0.623


# 5
# CePmOs2 (GGA-PBE, relaxed)
# Excess energy over the best structure of this formula in the dataset in meV/atom: 10
# ρ in g cm⁻³: 12.07
# Raw total energy in eV per cell: -132.6
# Crystal system: orthorhombic
data_CePmOs2
_cell_length_a 4.570
_cell_length_b 12.245
_cell_length_c 6.548
_cell_angle_alpha 90.00
_cell_angle_beta 90.00
_cell_angle_gamma 90.00
_space_group_name_H-M_alt 'C m c m'
_space_group_IT_number 63
_space_group_name_Hall '-C 2c 2'
loop_
_atom_site_label
_atom_site_fract_x
_atom_site_fract_y
_atom_site_fract_z
Ce1 0.000 0.228 0.250
Pm1 0.000 0.063 0.750
Os1 0.000 0.402 0.559


# 6
# CePmOs (GGA-PBE, relaxed)
# Excess energy over the best structure of this formula in the dataset in meV/atom: 130
# ρ in g cm⁻³: 10.36
# Raw total energy in eV per cell: -21.8
# Crystal system: trigonal
data_CePmOs
_cell_length_a 4.4761
_cell_length_b 4.4761
_cell_length_c 4.3913
_cell_angle_alpha 90.00
_cell_angle_beta 90.00
_cell_angle_gamma 120.00
_space_group_name_H-M_alt 'P 3 m 1'
_space_group_IT_number 156
loop_
_space_group_symop_operation_xyz
'x,y,z'
'-y,x-y,z'
'-x+y,-x,z'
'-y,-x,z'
'-x+y,y,z'
'x,x-y,z'
loop_
_atom_site_label
_atom_site_fract_x
_atom_site_fract_y
_atom_site_fract_z
Ce1 0.0000 0.0000 0.0000
Pm1 0.3333 0.6667 0.5423
Os1 0.6667 0.3333 0.2128


# 7
# Ce3PmOs (GGA-PBE, relaxed)
# Excess energy over the best structure of this formula in the dataset in meV/atom: 0
# ρ in g cm⁻³: 9.04
# Raw total energy in eV per cell: -136.0
# Crystal system: orthorhombic
data_Ce3PmOs
_cell_length_a 7.288
_cell_length_b 12.637
_cell_length_c 6.026
_cell_angle_alpha 90.00
_cell_angle_beta 90.00
_cell_angle_gamma 90.00
_space_group_name_H-M_alt 'C m c m'
_space_group_IT_number 63
_space_group_name_Hall '-C 2c 2'
loop_
_atom_site_label
_atom_site_fract_x
_atom_site_fract_y
_atom_site_fract_z
Ce1 0.000 0.186 0.250
Ce2 0.220 0.407 0.250
Pm1 0.000 0.333 0.750
Os1 0.000 0.000 0.000


# 8
# CePmOs2 (GGA-PBE, relaxed)
# Excess energy over the best structure of this formula in the dataset in meV/atom: 0
# ρ in g cm⁻³: 13.07
# Raw total energy in eV per cell: -33.2
# Crystal system: tetragonal
data_CePmOs2
_cell_length_a 3.480
_cell_length_b 3.480
_cell_length_c 6.980
_cell_angle_alpha 90.00
_cell_angle_beta 90.00
_cell_angle_gamma 90.00
_space_group_name_H-M_alt 'P 4/m m m'
_space_group_IT_number 123
_space_group_name_Hall '-P 4 2'
loop_
_atom_site_label
_atom_site_fract_x
_atom_site_fract_y
_atom_site_fract_z
Ce1 0.000 0.000 0.000
Pm1 0.000 0.000 0.500
Os1 0.500 0.500 0.231


# 9
# CePmOs (GGA-PBE, relaxed)
# Excess energy over the best structure of this formula in the dataset in meV/atom: 13
# ρ in g cm⁻³: 10.21
# Raw total energy in eV per cell: -44.4
# Crystal system: triclinic
data_CePmOs
_cell_length_a 4.158
_cell_length_b 4.972
_cell_length_c 7.480
_cell_angle_alpha 91.49
_cell_angle_beta 90.04
_cell_angle_gamma 90.15
_space_group_name_H-M_alt 'P -1'
_space_group_IT_number 2
loop_
_space_group_symop_operation_xyz
'x,y,z'
'-x,-y,-z'
loop_
_atom_site_label
_atom_site_fract_x
_atom_site_fract_y
_atom_site_fract_z
Ce1 0.249 0.232 0.479
Pm1 0.250 0.745 0.125
Os1 0.252 0.651 0.738


# 10
# CePmOsRh (GGA-PBE, relaxed)
# ρ in g cm⁻³: 11.29
# Raw total energy in eV per cell: -122.5
# Crystal system: cubic
data_CePmOsRh
_cell_length_a 6.981
_cell_length_b 6.981
_cell_length_c 6.981
_cell_angle_alpha 90.00
_cell_angle_beta 90.00
_cell_angle_gamma 90.00
_space_group_name_H-M_alt 'F -4 3 m'
_space_group_IT_number 216
_space_group_name_Hall 'F -4 2 3'
loop_
_atom_site_label
_atom_site_fract_x
_atom_site_fract_y
_atom_site_fract_z
Ce1 0.000 0.000 0.000
Pm1 0.000 0.000 0.500
Os1 0.250 0.250 0.750
Rh1 0.250 0.250 0.250


# 11
# CePmTcOs (GGA-PBE, relaxed)
# ρ in g cm⁻³: 11.34
# Raw total energy in eV per cell: -127.8
# Crystal system: cubic
data_CePmTcOs
_cell_length_a 6.952
_cell_length_b 6.952
_cell_length_c 6.952
_cell_angle_alpha 90.00
_cell_angle_beta 90.00
_cell_angle_gamma 90.00
_space_group_name_H-M_alt 'F -4 3 m'
_space_group_IT_number 216
_space_group_name_Hall 'F -4 2 3'
loop_
_atom_site_label
_atom_site_fract_x
_atom_site_fract_y
_atom_site_fract_z
Ce1 0.000 0.000 0.000
Pm1 0.000 0.000 0.500
Tc1 0.250 0.250 0.750
Os1 0.250 0.250 0.250


# 12
# CePmTlOs (GGA-PBE, relaxed)
# ρ in g cm⁻³: 11.22
# Raw total energy in eV per cell: -25.2
# Crystal system: tetragonal
data_CePmTlOs
_cell_length_a 3.403
_cell_length_b 3.403
_cell_length_c 8.685
_cell_angle_alpha 90.00
_cell_angle_beta 90.00
_cell_angle_gamma 90.00
_space_group_name_H-M_alt 'P 4 m m'
_space_group_IT_number 99
loop_
_space_group_symop_operation_xyz
'x,y,z'
'-y,x,z'
'-x,-y,z'
'y,-x,z'
'-x,y,z'
'y,x,z'
'x,-y,z'
'-y,-x,z'
loop_
_atom_site_label
_atom_site_fract_x
_atom_site_fract_y
_atom_site_fract_z
Ce1 0.000 0.000 0.000
Pm1 0.000 0.000 0.406
Tl1 0.500 0.500 0.703
Os1 0.500 0.500 0.195